VASP calculation (PBE-GGA) on crystalline LiTb2Ta2Rh5 at its relaxed geometry.

Cell lengths 10.6122, 10.6122, 3.2094 Å; angles 90.00, 90.00, 90.00 degrees
Space group P4/mbm (No. 127)
One atom of each set of equivalent atoms:
Li: 0.0000 0.0000 0.0000 x2
Tb: 0.1666 0.3334 0.0000 x4
Ta: 0.1408 0.6408 0.0000 x4
Rh: 0.0000 0.5000 0.5000 x2
Rh: 0.0621 0.8106 0.5000 x8

Output
spin magnetization: 0.0 μB per formula unit
DOS(E_F): 0.454 states/eV/atom
VASP energy: -150.9 eV for the cell shown